Pr4OsCl5 after structural relaxation, computed with PBE.

**E**: -55.3 eV per formula unit
**Calculated volume**: 32.4 Å³ per atom
**Formation energy without anion corrections**: -151.5 kJ per mole of atoms

Cell lengths 4.1629, 8.8184, 9.4426 Å; angles 106.46, 102.73, 90.00 degrees
With the nearest neighbours (Å) after each atom.
Sites, in units of the cell vectors:
Pr 0.3478 0.9046 0.6955  1 Os 2.68, 4 Cl 2.89-2.96
Pr 0.9983 0.7676 0.9966  2 Os 2.92, 4 Cl 2.94-3.15
Pr 0.6522 0.0954 0.3045  1 Os 2.68, 4 Cl 2.89-2.96
Pr 0.0017 0.2324 0.0034  2 Os 2.92, 4 Cl 2.94-3.15
Os 0.5000 0.0000 0.0000  6 Pr 2.68-2.92
Cl 0.8315 0.6700 0.6630  3 Pr 2.89-2.94
Cl 0.8300 0.1294 0.6599  4 Pr 2.96-3.20
Cl 0.1700 0.8706 0.3401  4 Pr 2.96-3.20
Cl 0.5000 0.5000 0.0000  4 Pr 3.15
Cl 0.1685 0.3300 0.3370  3 Pr 2.89-2.94

---

Mg2TeP after structural relaxation, computed with PBE.

**Energy above the lowest structure with this stoichiometry**: 687 meV/atom
**E**: -11.1 eV per formula unit
**Calculated volume**: 21.9 Å³ per atom
**Formation energy without anion corrections**: 16.0 kJ per mole of atoms

Cell lengths 4.9837, 4.9837, 4.9837 Å; angles 60.00, 60.00, 60.00 degrees
With the nearest neighbours (Å) after each atom.
Sites, in units of the cell vectors:
Mg 0.0000 0.0000 0.0000  4 Mg 3.05, 4 Te 3.05
Mg 0.2500 0.2500 0.2500  4 Mg 3.05, 4 P 3.05
P 0.5000 0.5000 0.5000  4 Te 3.05, 4 Mg 3.05
Te 0.7500 0.7500 0.7500  4 P 3.05, 4 Mg 3.05

---

ReSiOs after structural relaxation, computed with PBE.

**Energy above the lowest structure with this stoichiometry**: 158 meV/atom
**E**: -29.1 eV per formula unit
**Calculated volume**: 16.4 Å³ per atom
**Formation energy without anion corrections**: 0.2 kJ per mole of atoms

Cell lengths 4.1137, 4.1137, 4.1137 Å; angles 60.00, 60.00, 60.00 degrees
With the nearest neighbours (Å) after each atom.
Sites, in units of the cell vectors:
Os 0.7500 0.7500 0.7500  4 Re 2.52, 4 Si 2.52
Re 0.0000 0.0000 0.0000  4 Os 2.52
Si 0.5000 0.5000 0.5000  4 Os 2.52

---

TiAl2Ga2 after structural relaxation, computed with PBE.

**E**: -21.4 eV per formula unit
**Calculated volume**: 17.1 Å³ per atom

Cell lengths 7.1683, 7.1683, 3.3326 Å; angles 90.00, 90.00, 90.00 degrees
With the nearest neighbours (Å) after each atom.
Sites, in units of the cell vectors:
Al 0.3673 0.8673 0.0000  6 Ga 2.62-2.74, 1 Al 2.69, 2 Ti 2.80
Al 0.8673 0.6327 0.0000  6 Ga 2.62-2.74, 1 Al 2.69, 2 Ti 2.80
Al 0.6327 0.1327 0.0000  6 Ga 2.62-2.74, 1 Al 2.69, 2 Ti 2.80
Al 0.1327 0.3673 0.0000  6 Ga 2.62-2.74, 1 Al 2.69, 2 Ti 2.80
Ga 0.1678 0.6678 0.5000  6 Al 2.62-2.74
Ga 0.6678 0.8322 0.5000  6 Al 2.62-2.74
Ga 0.8322 0.3322 0.5000  6 Al 2.62-2.74
Ga 0.3322 0.1678 0.5000  6 Al 2.62-2.74
Ti 0.0000 0.0000 0.0000  4 Al 2.80
Ti 0.5000 0.5000 0.0000  4 Al 2.80

---

What did the first record say?
Pr4OsCl5 after structural relaxation, computed with PBE.

**E**: -55.3 eV per formula unit
**Calculated volume**: 32.4 Å³ per atom
**Formation energy without anion corrections**: -151.5 kJ per mole of atoms

Cell lengths 4.1629, 8.8184, 9.4426 Å; angles 106.46, 102.73, 90.00 degrees
With the nearest neighbours (Å) after each atom.
Sites, in units of the cell vectors:
Pr 0.3478 0.9046 0.6955  1 Os 2.68, 4 Cl 2.89-2.96
Pr 0.9983 0.7676 0.9966  2 Os 2.92, 4 Cl 2.94-3.15
Pr 0.6522 0.0954 0.3045  1 Os 2.68, 4 Cl 2.89-2.96
Pr 0.0017 0.2324 0.0034  2 Os 2.92, 4 Cl 2.94-3.15
Os 0.5000 0.0000 0.0000  6 Pr 2.68-2.92
Cl 0.8315 0.6700 0.6630  3 Pr 2.89-2.94
Cl 0.8300 0.1294 0.6599  4 Pr 2.96-3.20
Cl 0.1700 0.8706 0.3401  4 Pr 2.96-3.20
Cl 0.5000 0.5000 0.0000  4 Pr 3.15
Cl 0.1685 0.3300 0.3370  3 Pr 2.89-2.94